Compound: BeGeSe
Source: Alexandria
Functional: PBE
Structure: optimized geometry

Cell and atoms, written as extended XYZ:
```
6
Lattice="5.753 0.000 0.000 0.000 3.827 0.000 -0.192 0.000 5.965" Properties=species:S:1:pos:R:3 pbc="T T T"
Be 0.997 0.957 2.374
Be 4.564 2.870 3.591
Ge 2.495 0.957 0.672
Ge 3.067 2.870 5.293
Se 1.114 2.870 3.634
Se 4.448 0.957 2.331
```

## Properties
Space group: No. 11
Spin magnetization in Bohr magnetons per cell: 0.0
Total DFT energy (no corrections) in eV/atom: -4.166
Crystal system: monoclinic


Compound: Be2GeSe4
Source: Alexandria
Functional: PBE
Structure: optimized geometry

Cell and atoms, written as extended XYZ:
```
7
Lattice="-2.748 2.748 6.027 2.748 -2.748 6.027 2.748 2.748 -6.027" Properties=species:S:1:pos:R:3 pbc="T T T"
Be 2.748 0.000 0.000
Be 0.000 2.748 0.000
Ge 0.000 0.000 0.000
Se 1.387 1.387 -1.297
Se 1.361 -1.361 7.324
Se 1.361 1.361 4.731
Se -1.361 1.361 7.324
```

## Properties
Space group: No. 121
Spin magnetization in Bohr magnetons per cell: 0.0
Total DFT energy (no corrections) in eV/atom: -4.124
Crystal system: tetragonal


Compound: BeGeSe3
Source: Alexandria
Functional: PBE
Structure: optimized geometry

Cell and atoms, written as extended XYZ:
```
5
Lattice="4.966 0.000 0.000 0.000 4.966 0.000 0.000 0.000 4.966" Properties=species:S:1:pos:R:3 pbc="T T T"
Be 0.000 0.000 0.000
Ge 2.483 2.483 2.483
Se 0.000 2.483 2.483
Se 2.483 0.000 2.483
Se 2.483 2.483 0.000
```

## Properties
Space group: No. 221
Spin magnetization in Bohr magnetons per cell: 0.0
Total DFT energy (no corrections) in eV/atom: -2.936
Crystal system: cubic


Compound: BeGe3Se
Source: Alexandria
Functional: PBE
Structure: optimized geometry

Cell and atoms, written as extended XYZ:
```
5
Lattice="4.572 0.000 0.000 0.000 4.572 0.000 0.000 0.000 4.572" Properties=species:S:1:pos:R:3 pbc="T T T"
Be 0.000 0.000 0.000
Ge 0.000 0.000 2.286
Ge 0.000 2.286 0.000
Ge 2.286 0.000 0.000
Se 2.286 2.286 2.286
```

## Properties
Space group: No. 221
Spin magnetization in Bohr magnetons per cell: 0.0
Total DFT energy (no corrections) in eV/atom: -3.832
Crystal system: cubic